# 1
A plane-wave DFT calculation with PBE was carried out for an optimized crystal structure of Mn2BeAl.

Unit cell a=8.088 b=8.088 c=8.088 alpha=18.38 beta=18.38 gamma=18.38
Positions (direct):
Mn1 0.245 0.245 0.245
Mn2 0.755 0.755 0.755
Be1 0.500 0.500 0.500
Al1 0.000 0.000 0.000

ρ (g/cm³): 5.27
M_tot (μB/cell): 2.839
ΔE_f (eV per atom): 0.077
N(E_F) (states/eV/atom): 0.906

=====

# 2
A plane-wave DFT calculation with PBE was carried out for an optimized crystal structure of MnBeAl2.

Unit cell a=3.746 b=3.746 c=3.575 alpha=90.00 beta=90.00 gamma=90.00
Positions (direct):
Mn1 0.000 0.000 0.000
Be1 0.500 0.500 0.000
Al1 0.000 0.500 0.500
Al2 0.500 0.000 0.500

ρ (g/cm³): 3.90
M_tot (μB/cell): 2.267
ΔE_f (eV per atom): -0.140
N(E_F) (states/eV/atom): 0.408

=====

# 3
A plane-wave DFT calculation with PBE was carried out for an optimized crystal structure of MnBeAl.

Unit cell a=4.753 b=4.753 c=4.753 alpha=145.72 beta=145.72 gamma=49.26
Positions (direct):
Mn1 0.000 0.000 0.000
Be1 0.360 0.360 0.000
Al1 0.683 0.683 0.000

ρ (g/cm³): 4.46
M_tot (μB/cell): 1.771
ΔE_f (eV per atom): -0.117
N(E_F) (states/eV/atom): 0.498

=====

# 4
A plane-wave DFT calculation with PBE was carried out for an optimized crystal structure of MnBeAl2.

Unit cell a=4.552 b=4.552 c=4.552 alpha=133.29 beta=133.29 gamma=68.20
Positions (direct):
Mn1 0.000 0.000 0.000
Be1 0.500 0.500 0.000
Al1 0.250 0.750 0.500
Al2 0.750 0.250 0.500

ρ (g/cm³): 3.99
M_tot (μB/cell): 1.029
ΔE_f (eV per atom): -0.141
N(E_F) (states/eV/atom): 0.177

=====

# 5
A plane-wave DFT calculation with PBE was carried out for an optimized crystal structure of Mn2BeAl.

Unit cell a=3.924 b=3.924 c=3.924 alpha=60.00 beta=60.00 gamma=60.00
Positions (direct):
Mn1 0.000 0.000 0.000
Mn2 0.250 0.250 0.250
Be1 0.750 0.750 0.750
Al1 0.500 0.500 0.500

ρ (g/cm³): 5.67
M_tot (μB/cell): 0.001
ΔE_f (eV per atom): -0.160
N(E_F) (states/eV/atom): 0.614

=====

# 6
A plane-wave DFT calculation with PBE was carried out for an optimized crystal structure of Mn4BeAl.

Unit cell a=4.613 b=4.613 c=4.613 alpha=60.00 beta=60.00 gamma=60.00
Positions (direct):
Mn1 0.376 0.376 0.376
Mn2 0.376 0.376 0.873
Mn3 0.376 0.873 0.376
Mn4 0.873 0.376 0.376
Be1 0.750 0.750 0.750
Al1 0.000 0.000 0.000

ρ (g/cm³): 6.12
M_tot (μB/cell): 0.001
ΔE_f (eV per atom): 0.146
N(E_F) (states/eV/atom): 0.929

=====

# 7
A plane-wave DFT calculation with PBE was carried out for an optimized crystal structure of Mn2BeAl.

Unit cell a=4.576 b=4.576 c=4.576 alpha=143.56 beta=129.29 gamma=64.05
Positions (direct):
Mn1 0.241 0.241 0.000
Mn2 0.759 0.759 0.000
Be1 0.000 0.500 0.500
Al1 0.500 0.000 0.500

ρ (g/cm³): 5.57
M_tot (μB/cell): 0.955
ΔE_f (eV per atom): -0.052
N(E_F) (states/eV/atom): 0.981

=====

# 8
A plane-wave DFT calculation with PBE was carried out for an optimized crystal structure of MnBe9Al2.

Unit cell a=7.350 b=7.350 c=7.350 alpha=34.13 beta=34.13 gamma=34.13
Positions (direct):
Mn1 0.000 0.000 0.000
Be1 0.081 0.579 0.579
Be2 0.332 0.332 0.332
Be3 0.421 0.421 0.919
Be4 0.421 0.919 0.421
Be5 0.500 0.500 0.500
Be6 0.579 0.081 0.579
Be7 0.579 0.579 0.081
Be8 0.668 0.668 0.668
Be9 0.919 0.421 0.421
Al1 0.139 0.139 0.139
Al2 0.861 0.861 0.861

ρ (g/cm³): 2.83
M_tot (μB/cell): 1.224
ΔE_f (eV per atom): -0.032
N(E_F) (states/eV/atom): 0.160

=====

# 9
A plane-wave DFT calculation with PBE was carried out for an optimized crystal structure of Mn2BeAl.

Unit cell a=4.583 b=4.583 c=4.583 alpha=143.02 beta=129.16 gamma=64.50
Positions (direct):
Mn1 0.000 0.000 0.000
Mn2 0.764 0.264 0.500
Be1 0.521 0.521 0.000
Al1 0.265 0.765 0.500

ρ (g/cm³): 5.47
M_tot (μB/cell): 2.041
ΔE_f (eV per atom): -0.067
N(E_F) (states/eV/atom): 0.935

=====

# 10
A plane-wave DFT calculation with PBE was carried out for an optimized crystal structure of MnBeAl2.

Unit cell a=4.144 b=4.144 c=4.144 alpha=60.00 beta=60.00 gamma=60.00
Positions (direct):
Mn1 0.000 0.000 0.000
Be1 0.750 0.750 0.750
Al1 0.250 0.250 0.250
Al2 0.500 0.500 0.500

ρ (g/cm³): 3.89
M_tot (μB/cell): 2.049
ΔE_f (eV per atom): 0.128
N(E_F) (states/eV/atom): 0.908

=====

# 11
A plane-wave DFT calculation with PBE was carried out for an optimized crystal structure of Mn2BeAl.

Unit cell a=4.180 b=4.180 c=2.736 alpha=90.00 beta=90.00 gamma=100.03
Positions (direct):
Mn1 0.000 0.500 0.000
Mn2 0.500 0.000 0.000
Be1 0.000 0.000 0.500
Al1 0.500 0.500 0.500

ρ (g/cm³): 5.15
M_tot (μB/cell): 4.835
ΔE_f (eV per atom): -0.095
N(E_F) (states/eV/atom): 0.610

=====

# 12
A plane-wave DFT calculation with PBE was carried out for an optimized crystal structure of MnBeAl2.

Unit cell a=3.014 b=3.014 c=5.416 alpha=90.00 beta=90.00 gamma=90.00
Positions (direct):
Mn1 0.000 0.000 0.000
Be1 0.000 0.000 0.500
Al1 0.500 0.500 0.247
Al2 0.500 0.500 0.753

ρ (g/cm³): 3.98
M_tot (μB/cell): 1.138
ΔE_f (eV per atom): -0.058
N(E_F) (states/eV/atom): 0.505

=====

# 13
A plane-wave DFT calculation with PBE was carried out for an optimized crystal structure of MnBeAl2.

Unit cell a=4.408 b=4.408 c=2.720 alpha=90.00 beta=90.00 gamma=106.49
Positions (direct):
Mn1 0.000 0.000 0.000
Be1 0.500 0.500 0.000
Al1 0.000 0.500 0.500
Al2 0.500 0.000 0.500

ρ (g/cm³): 3.86
M_tot (μB/cell): 2.030
ΔE_f (eV per atom): -0.057
N(E_F) (states/eV/atom): 0.536

=====

# 14
A plane-wave DFT calculation with PBE was carried out for an optimized crystal structure of MnBe3Al.

Unit cell a=4.122 b=4.122 c=4.122 alpha=90.00 beta=90.00 gamma=90.00
Positions (direct):
Mn1 0.000 0.000 0.000
Be1 0.000 0.500 0.500
Be2 0.500 0.000 0.500
Be3 0.500 0.500 0.000
Al1 0.500 0.500 0.500

ρ (g/cm³): 2.58
M_tot (μB/cell): 0.545
ΔE_f (eV per atom): 1.517
N(E_F) (states/eV/atom): 0.991

=====

# 15
A plane-wave DFT calculation with PBE was carried out for an optimized crystal structure of MnBeAl.

Unit cell a=3.855 b=3.855 c=3.855 alpha=60.00 beta=60.00 gamma=60.00
Positions (direct):
Mn1 0.000 0.000 0.000
Be1 0.250 0.250 0.250
Al1 0.500 0.500 0.500

ρ (g/cm³): 3.73
M_tot (μB/cell): 2.995
ΔE_f (eV per atom): 0.133
N(E_F) (states/eV/atom): 0.603

=====

# 16
A plane-wave DFT calculation with PBE was carried out for an optimized crystal structure of Mn5Be2AlMo2.

Unit cell a=8.565 b=8.565 c=3.230 alpha=90.00 beta=90.00 gamma=90.00
Positions (direct):
Mn1 0.000 0.500 0.000
Mn2 0.069 0.215 0.000
Mn3 0.215 0.931 0.000
Mn4 0.285 0.431 0.000
Mn5 0.431 0.715 0.000
Mn6 0.500 0.000 0.000
Mn7 0.569 0.285 0.000
Mn8 0.715 0.569 0.000
Mn9 0.785 0.069 0.000
Mn10 0.931 0.785 0.000
Be1 0.119 0.381 0.500
Be2 0.381 0.881 0.500
Be3 0.619 0.119 0.500
Be4 0.881 0.619 0.500
Al1 0.000 0.000 0.500
Al2 0.500 0.500 0.500
Mo1 0.175 0.675 0.500
Mo2 0.325 0.175 0.500
Mo3 0.675 0.825 0.500
Mo4 0.825 0.325 0.500

ρ (g/cm³): 7.17
M_tot (μB/cell): 14.530
ΔE_f (eV per atom): -0.027
N(E_F) (states/eV/atom): 0.588

=====

# 17
A plane-wave DFT calculation with PBE was carried out for an optimized crystal structure of Mn5Be2Nb2Al.

Unit cell a=8.733 b=8.733 c=3.254 alpha=90.00 beta=90.00 gamma=90.00
Positions (direct):
Mn1 0.000 0.500 0.000
Mn2 0.067 0.216 0.000
Mn3 0.216 0.933 0.000
Mn4 0.284 0.433 0.000
Mn5 0.433 0.716 0.000
Mn6 0.500 0.000 0.000
Mn7 0.567 0.284 0.000
Mn8 0.716 0.567 0.000
Mn9 0.784 0.067 0.000
Mn10 0.933 0.784 0.000
Be1 0.119 0.381 0.500
Be2 0.381 0.881 0.500
Be3 0.619 0.119 0.500
Be4 0.881 0.619 0.500
Nb1 0.176 0.676 0.500
Nb2 0.324 0.176 0.500
Nb3 0.676 0.824 0.500
Nb4 0.824 0.324 0.500
Al1 0.000 0.000 0.500
Al2 0.500 0.500 0.500

ρ (g/cm³): 6.77
M_tot (μB/cell): 15.169
ΔE_f (eV per atom): -0.124
N(E_F) (states/eV/atom): 0.825

=====

# 18
A plane-wave DFT calculation with PBE was carried out for an optimized crystal structure of MnBeAlNi.

Unit cell a=4.002 b=4.002 c=4.002 alpha=60.00 beta=60.00 gamma=60.00
Positions (direct):
Mn1 0.000 0.000 0.000
Be1 0.750 0.750 0.750
Al1 0.250 0.250 0.250
Ni1 0.500 0.500 0.500

ρ (g/cm³): 5.48
M_tot (μB/cell): 2.789
ΔE_f (eV per atom): -0.232
N(E_F) (states/eV/atom): 1.232

=====

# 19
A plane-wave DFT calculation with PBE was carried out for an optimized crystal structure of Mn2Be2AlNi5.

Unit cell a=8.315 b=8.315 c=3.213 alpha=90.00 beta=90.00 gamma=90.00
Positions (direct):
Mn1 0.175 0.325 0.000
Mn2 0.325 0.825 0.000
Mn3 0.675 0.175 0.000
Mn4 0.825 0.675 0.000
Be1 0.120 0.620 0.000
Be2 0.380 0.120 0.000
Be3 0.620 0.880 0.000
Be4 0.880 0.380 0.000
Al1 0.000 0.000 0.000
Al2 0.500 0.500 0.000
Ni1 0.000 0.500 0.500
Ni2 0.070 0.789 0.500
Ni3 0.211 0.070 0.500
Ni4 0.289 0.570 0.500
Ni5 0.430 0.289 0.500
Ni6 0.500 0.000 0.500
Ni7 0.570 0.711 0.500
Ni8 0.711 0.430 0.500
Ni9 0.789 0.930 0.500
Ni10 0.930 0.211 0.500

ρ (g/cm³): 6.70
M_tot (μB/cell): 16.936
ΔE_f (eV per atom): -0.285
N(E_F) (states/eV/atom): 0.460

=====

# 20
A plane-wave DFT calculation with PBE was carried out for an optimized crystal structure of PaMnBeAl.

Unit cell a=4.453 b=4.453 c=4.453 alpha=60.00 beta=60.00 gamma=60.00
Positions (direct):
Pa1 0.000 0.000 0.000
Mn1 0.250 0.250 0.250
Be1 0.750 0.750 0.750
Al1 0.500 0.500 0.500

ρ (g/cm³): 8.56
M_tot (μB/cell): 1.260
ΔE_f (eV per atom): 0.048
N(E_F) (states/eV/atom): 1.075

=====

# 21
A plane-wave DFT calculation with PBE was carried out for an optimized crystal structure of Mn2BeAlPb.

Unit cell a=4.443 b=4.443 c=4.203 alpha=90.00 beta=90.00 gamma=90.00
Positions (direct):
Mn1 0.000 0.500 0.000
Mn2 0.500 0.000 0.000
Be1 0.000 0.000 0.500
Al1 0.000 0.000 0.000
Pb1 0.500 0.500 0.500

ρ (g/cm³): 7.07
M_tot (μB/cell): 0.154
ΔE_f (eV per atom): 1.175
N(E_F) (states/eV/atom): 1.320

=====

# 22
A plane-wave DFT calculation with PBE was carried out for an optimized crystal structure of MnBe2AlPd.

Unit cell a=4.198 b=4.198 c=4.437 alpha=90.00 beta=90.00 gamma=90.00
Positions (direct):
Mn1 0.000 0.000 0.000
Be1 0.000 0.500 0.500
Be2 0.500 0.000 0.500
Al1 0.500 0.500 0.500
Pd1 0.500 0.500 0.000

ρ (g/cm³): 4.38
M_tot (μB/cell): 0.118
ΔE_f (eV per atom): 1.233
N(E_F) (states/eV/atom): 0.844

=====

# 23
A plane-wave DFT calculation with PBE was carried out for an optimized crystal structure of MnBeAlPt.

Unit cell a=4.165 b=4.165 c=4.165 alpha=60.00 beta=60.00 gamma=60.00
Positions (direct):
Mn1 0.000 0.000 0.000
Be1 0.250 0.250 0.250
Al1 0.750 0.750 0.750
Pt1 0.500 0.500 0.500

ρ (g/cm³): 9.30
M_tot (μB/cell): 3.171
ΔE_f (eV per atom): -0.459
N(E_F) (states/eV/atom): 1.021

=====

# 24
A plane-wave DFT calculation with PBE was carried out for an optimized crystal structure of Mn5Be2AlRe2.

Unit cell a=8.676 b=8.676 c=2.994 alpha=90.00 beta=90.00 gamma=90.00
Positions (direct):
Mn1 0.000 0.500 0.000
Mn2 0.065 0.212 0.000
Mn3 0.212 0.935 0.000
Mn4 0.288 0.435 0.000
Mn5 0.435 0.712 0.000
Mn6 0.500 0.000 0.000
Mn7 0.565 0.288 0.000
Mn8 0.712 0.565 0.000
Mn9 0.788 0.065 0.000
Mn10 0.935 0.788 0.000
Be1 0.124 0.376 0.500
Be2 0.376 0.876 0.500
Be3 0.624 0.124 0.500
Be4 0.876 0.624 0.500
Al1 0.000 0.000 0.500
Al2 0.500 0.500 0.500
Re1 0.176 0.676 0.500
Re2 0.324 0.176 0.500
Re3 0.676 0.824 0.500
Re4 0.824 0.324 0.500

ρ (g/cm³): 10.20
M_tot (μB/cell): 10.918
ΔE_f (eV per atom): -0.005
N(E_F) (states/eV/atom): 0.680

=====

# 25
A plane-wave DFT calculation with PBE was carried out for an optimized crystal structure of MnBeAlRe.

Unit cell a=4.069 b=4.069 c=4.069 alpha=60.00 beta=60.00 gamma=60.00
Positions (direct):
Mn1 0.000 0.000 0.000
Be1 0.500 0.500 0.500
Al1 0.750 0.750 0.750
Re1 0.250 0.250 0.250

ρ (g/cm³): 9.66
M_tot (μB/cell): 0.000
ΔE_f (eV per atom): -0.166
N(E_F) (states/eV/atom): 0.489

=====

# 26
A plane-wave DFT calculation with PBE was carried out for an optimized crystal structure of MnBeAl2Sb.

Unit cell a=5.261 b=5.261 c=4.731 alpha=90.00 beta=90.00 gamma=90.00
Positions (direct):
Mn1 0.000 0.000 0.000
Be1 0.500 0.500 0.000
Al1 0.000 0.500 0.500
Al2 0.500 0.000 0.500
Sb1 0.000 0.000 0.500

Energy relative to the elements, uncorrected (eV/atom): 1.66
ρ (g/cm³): 3.04
M_tot (μB/cell): 0.022
N(E_F) (states/eV/atom): 1.001